TlHg2BBr, relaxed, DFT PBEsol; V = 22.66 Å³/atom; E_form (uncorrected) = 108 meV/atom
1.0
-3.140 2.496 -2.073
-3.244 -2.392 2.034
0.033 3.576 4.256
Tl B Hg Br
1 1 2 1
Direct
0.000 0.000 0.500 Tl
0.000 0.000 0.000 B
0.000 0.500 0.000 Hg
0.500 0.000 0.000 Hg
0.500 0.500 0.500 Br